TcSnHg2C: optimized geometry, GGA-PBE.

a = 4.319 Å, b = 5.606 Å, c = 4.319 Å
α = 90.00°, β = 90.00°, γ = 90.00°
Positions (direct):
Hg1 0.500 0.000 0.000
C1 0.000 0.000 0.000
Hg2 0.000 0.000 0.500
Sn1 0.000 0.500 0.000
Tc1 0.500 0.500 0.500

Calculated values
N(E_F)   2.9 states/eV/cell
Volume   104.6 Å³ per cell
Calculated formation energy   1.48 eV/atom

=====

K3YTl: optimized geometry, GGA-PBE.

a = 6.593 Å, b = 6.593 Å, c = 6.593 Å
α = 90.00°, β = 90.00°, γ = 90.00°
Positions (direct):
Y1 0.500 0.500 0.500
K1 0.500 0.000 0.000
Tl1 0.000 0.000 0.000
K2 0.000 0.500 0.000
K3 0.000 0.000 0.500

Calculated values
N(E_F)   6.5 states/eV/cell
Volume   286.5 Å³ per cell
Relative energy among the computed polymorphs   0.00 eV per formula unit
Calculated formation energy   0.63 eV/atom